Entry from Alexandria: a relaxed ZrTa3Ru4 crystal (PBE-GGA).

Cell lengths 3.346, 4.433, 8.850 Å; angles 90.00, 90.00, 90.00 degrees
Positions (direct):
Zr: 0.000 0.000 0.000
Ta: 0.000 0.000 0.500
Ta: 0.000 0.500 0.255
Ta: 0.000 0.500 0.745
Ru: 0.500 0.000 0.257
Ru: 0.500 0.000 0.743
Ru: 0.500 0.500 0.000
Ru: 0.500 0.500 0.500

Crystal system: orthorhombic
Energy relative to the elements in eV per atom: -0.380
DOS at the Fermi energy in states/eV per atom: 0.927
Symmetry: Pmmm, No. 47

Entry from Alexandria: a relaxed K3Ac2ZnO6 crystal (PBE-GGA).

Cell lengths 6.603, 6.603, 6.549 Å; angles 96.91, 96.91, 124.18 degrees
Positions (direct):
K: 0.000 0.000 0.000
K: 0.345 0.655 0.000
K: 0.655 0.345 0.000
Ac: 0.167 0.833 0.500
Ac: 0.833 0.167 0.500
Zn: 0.500 0.500 0.500
O: 0.063 0.426 0.276
O: 0.276 0.276 0.655
O: 0.426 0.063 0.276
O: 0.574 0.937 0.724
O: 0.724 0.724 0.345
O: 0.937 0.574 0.724

Crystal system: monoclinic
DOS at the Fermi energy in states/eV per atom: 0.399
Symmetry: C2/m, No. 12
Uncorrected formation energy in eV/f.u.: -23.9

Entry from Alexandria: a relaxed Ce3Nd4Os2 crystal (PBE-GGA).

Cell lengths 8.800, 8.800, 8.928 Å; angles 115.94, 115.94, 25.18 degrees
Positions (direct):
Ce: 0.000 0.000 0.000
Ce: 0.077 0.077 0.684
Ce: 0.923 0.923 0.316
Nd: 0.229 0.229 0.148
Nd: 0.381 0.381 0.627
Nd: 0.619 0.619 0.373
Nd: 0.771 0.771 0.852
Os: 0.410 0.410 0.095
Os: 0.590 0.590 0.905

Crystal system: monoclinic
Energy relative to the elements in eV per atom: -0.085
DOS at the Fermi energy in states/eV per atom: 1.797
Symmetry: C2/m, No. 12

Entry from Alexandria: a relaxed Sc4ReMo crystal (PBE-GGA).

Cell lengths 5.441, 5.441, 5.441 Å; angles 60.00, 60.00, 60.00 degrees
Positions (direct):
Sc: 0.125 0.125 0.125
Sc: 0.125 0.125 0.624
Sc: 0.125 0.624 0.125
Sc: 0.624 0.125 0.125
Re: 0.500 0.500 0.500
Mo: 0.750 0.750 0.750

Crystal system: cubic
Energy relative to the elements in eV per atom: 0.716
DOS at the Fermi energy in states/eV per atom: 1.390
Symmetry: F-43m, No. 216

Entry from Alexandria: a relaxed CrPbS2 crystal (PBE-GGA).

Cell lengths 7.022, 10.426, 5.458 Å; angles 90.00, 118.61, 90.00 degrees
Positions (direct):
Cr: 0.000 0.004 0.250
Cr: 0.000 0.996 0.750
Cr: 0.500 0.496 0.750
Cr: 0.500 0.504 0.250
Pb: 0.000 0.355 0.750
Pb: 0.000 0.645 0.250
Pb: 0.500 0.145 0.250
Pb: 0.500 0.855 0.750
S: 0.208 0.117 0.637
S: 0.208 0.883 0.137
S: 0.292 0.383 0.363
S: 0.292 0.617 0.863
S: 0.708 0.383 0.137
S: 0.708 0.617 0.637
S: 0.792 0.117 0.863
S: 0.792 0.883 0.363

Crystal system: monoclinic
DOS at the Fermi energy in states/eV per atom: 0.646
Symmetry: C2/c, No. 15
Uncorrected formation energy in eV/f.u.: -1.4

Entry from Alexandria: a relaxed La3Pr2Ho6Sc crystal (PBE-GGA).

Cell lengths 6.215, 6.215, 11.848 Å; angles 95.02, 95.02, 120.02 degrees
Positions (direct):
La: 0.000 0.000 0.000
La: 0.333 0.667 0.000
La: 0.667 0.333 0.000
Pr: 0.166 0.834 0.500
Pr: 0.834 0.166 0.500
Ho: 0.089 0.419 0.255
Ho: 0.251 0.251 0.746
Ho: 0.419 0.089 0.255
Ho: 0.581 0.911 0.745
Ho: 0.749 0.749 0.254
Ho: 0.911 0.581 0.745
Sc: 0.500 0.500 0.500

Crystal system: monoclinic
Energy relative to the elements in eV per atom: 0.028
DOS at the Fermi energy in states/eV per atom: 1.242
Symmetry: C2/m, No. 12

Entry from Alexandria: a relaxed ReNi2W crystal (PBE-GGA).

Cell lengths 3.779, 3.779, 7.466 Å; angles 90.00, 90.00, 90.00 degrees
Positions (direct):
Re: 0.000 0.000 0.000
Re: 0.500 0.500 0.500
Ni: 0.000 0.000 0.500
Ni: 0.000 0.500 0.250
Ni: 0.500 0.000 0.750
Ni: 0.500 0.500 0.000
W: 0.000 0.500 0.750
W: 0.500 0.000 0.250

Crystal system: tetragonal
Energy relative to the elements in eV per atom: 0.064
DOS at the Fermi energy in states/eV per atom: 1.691
Symmetry: I-4m2, No. 119

Entry from Alexandria: a relaxed LiHo2Hf crystal (PBE-GGA).

Cell lengths 3.394, 3.394, 8.981 Å; angles 90.00, 90.00, 90.00 degrees
Positions (direct):
Li: 0.000 0.000 0.000
Ho: 0.500 0.500 0.253
Ho: 0.500 0.500 0.747
Hf: 0.000 0.000 0.500

Crystal system: tetragonal
Energy relative to the elements in eV per atom: 0.097
DOS at the Fermi energy in states/eV per atom: 1.093
Excess energy over the best structure of this formula in the dataset in meV per atom: 0
Symmetry: P4/mmm, No. 123

Entry from Alexandria: a relaxed AcNbS4 crystal (PBE-GGA).

Cell lengths 7.639, 7.639, 6.887 Å; angles 106.45, 106.45, 48.92 degrees
Positions (direct):
Ac: 0.197 0.803 0.750
Ac: 0.803 0.197 0.250
Nb: 0.000 0.500 0.000
Nb: 0.500 0.000 0.500
S: 0.120 0.230 0.660
S: 0.230 0.120 0.160
S: 0.315 0.498 0.050
S: 0.498 0.315 0.550
S: 0.502 0.685 0.450
S: 0.685 0.502 0.950
S: 0.770 0.880 0.840
S: 0.880 0.770 0.340

Crystal system: monoclinic
DOS at the Fermi energy in states/eV per atom: 0.099
Excess energy over the best structure of this formula in the dataset in meV per atom: 89
Symmetry: C2/c, No. 15
Uncorrected formation energy in eV/f.u.: -7.4

Entry from Alexandria: a relaxed ZnSnSb2 crystal (PBE-GGA).

Cell lengths 4.538, 4.538, 6.340 Å; angles 90.00, 90.00, 90.00 degrees
Positions (direct):
Zn: 0.000 0.000 0.000
Sn: 0.500 0.500 0.500
Sb: 0.000 0.500 0.222
Sb: 0.500 0.000 0.778

Crystal system: tetragonal
DOS at the Fermi energy in states/eV per atom: 0.083
Excess energy over the best structure of this formula in the dataset in meV per atom: 5
Symmetry: P-4m2, No. 115
Uncorrected formation energy in eV/f.u.: -0.2

Entry from Alexandria: a relaxed ErCuSn2 crystal (PBE-GGA).

Cell lengths 3.406, 3.406, 27.762 Å; angles 90.00, 90.00, 120.00 degrees
Positions (direct):
Er: 0.000 0.000 0.000
Er: 0.333 0.667 0.667
Er: 0.667 0.333 0.333
Cu: 0.000 0.000 0.500
Cu: 0.333 0.667 0.167
Cu: 0.667 0.333 0.833
Sn: 0.000 0.000 0.237
Sn: 0.000 0.000 0.763
Sn: 0.333 0.667 0.429
Sn: 0.333 0.667 0.904
Sn: 0.667 0.333 0.096
Sn: 0.667 0.333 0.571

Crystal system: trigonal
Energy relative to the elements in eV per atom: -0.061
DOS at the Fermi energy in states/eV per atom: 0.895
Symmetry: R-3m, No. 166

Entry from Alexandria: a relaxed NbF crystal (PBE-GGA).

Cell lengths 4.989, 4.989, 4.989 Å; angles 90.00, 90.00, 90.00 degrees
Positions (direct):
Nb: 0.000 0.000 0.000
Nb: 0.000 0.500 0.500
Nb: 0.500 0.000 0.500
Nb: 0.500 0.500 0.000
F: 0.250 0.250 0.250
F: 0.250 0.750 0.750
F: 0.750 0.250 0.750
F: 0.750 0.750 0.250

Crystal system: cubic
DOS at the Fermi energy in states/eV per atom: 0.703
Excess energy over the best structure of this formula in the dataset in meV per atom: 1134
Symmetry: F-43m, No. 216
Uncorrected formation energy in eV/f.u.: -1.0

What did the second record say?
Entry from Alexandria: a relaxed K3Ac2ZnO6 crystal (PBE-GGA).

Cell lengths 6.603, 6.603, 6.549 Å; angles 96.91, 96.91, 124.18 degrees
Positions (direct):
K: 0.000 0.000 0.000
K: 0.345 0.655 0.000
K: 0.655 0.345 0.000
Ac: 0.167 0.833 0.500
Ac: 0.833 0.167 0.500
Zn: 0.500 0.500 0.500
O: 0.063 0.426 0.276
O: 0.276 0.276 0.655
O: 0.426 0.063 0.276
O: 0.574 0.937 0.724
O: 0.724 0.724 0.345
O: 0.937 0.574 0.724

Crystal system: monoclinic
DOS at the Fermi energy in states/eV per atom: 0.399
Symmetry: C2/m, No. 12
Uncorrected formation energy in eV/f.u.: -23.9